Record 1
# MgHg2P GGA-PBE optimized geometry
data_MgHg2P
_chemical_formula_sum 'Mg4 Hg8 P4'
_symmetry_space_group_name_H-M 'F -4 3 m'
_symmetry_Int_Tables_number 216
_symmetry_space_group_name_Hall 'F -4 2 3'
_cell_length_a 7.0072
_cell_length_b 7.0072
_cell_length_c 7.0072
_cell_angle_alpha 90.00
_cell_angle_beta 90.00
_cell_angle_gamma 90.00
loop_
_atom_site_label
_atom_site_type_symbol
_atom_site_fract_x
_atom_site_fract_y
_atom_site_fract_z
_atom_site_occupancy
Mg1 Mg 0.0000 0.0000 0.0000 1
Hg1 Hg 0.0000 0.0000 0.5000 1
Hg2 Hg 0.2500 0.2500 0.7500 1
P1 P 0.2500 0.2500 0.2500 1
# * theoretical density: 8.812 g/cm3
# * energy of formation: 162.7 meV per atom



Record 2
# RbIn4Te5 GGA-PBE optimized geometry
data_RbIn4Te5
_chemical_formula_sum 'Rb2 In8 Te10'
_symmetry_space_group_name_H-M 'P m m n'
_symmetry_Int_Tables_number 59
_cell_length_a 8.3523
_cell_length_b 12.2791
_cell_length_c 7.4550
_cell_angle_alpha 90.00
_cell_angle_beta 90.00
_cell_angle_gamma 90.00
loop_
_symmetry_equiv_pos_as_xyz
'x,y,z'
'-x,-y,-z'
'-x+1/2,-y+1/2,z'
'x+1/2,y+1/2,-z'
'x+1/2,-y,-z'
'-x+1/2,y,z'
'-x,y+1/2,-z'
'x,-y+1/2,z'
loop_
_atom_site_label
_atom_site_type_symbol
_atom_site_fract_x
_atom_site_fract_y
_atom_site_fract_z
_atom_site_occupancy
Rb1 Rb 0.2500 0.2500 0.0624 1
In1 In 0.0622 0.2500 0.5379 1
In2 In 0.2500 0.5561 0.9169 1
Te1 Te 0.0224 0.5640 0.2317 1
Te2 Te 0.2500 0.7500 0.6894 1
# * theoretical density: 5.137 g/cm3
# * calculated total energy: -3.0859 eV per atom



Record 3
# YHo2V GGA-PBE optimized geometry
data_YHo2V
_chemical_formula_sum 'Y3 Ho6 V3'
_symmetry_space_group_name_H-M 'R -3 m'
_symmetry_Int_Tables_number 166
_symmetry_space_group_name_Hall '-R 3 2"'
_cell_length_a 3.3721
_cell_length_b 3.3721
_cell_length_c 34.2015
_cell_angle_alpha 90.00
_cell_angle_beta 90.00
_cell_angle_gamma 120.00
loop_
_atom_site_label
_atom_site_type_symbol
_atom_site_fract_x
_atom_site_fract_y
_atom_site_fract_z
_atom_site_occupancy
Y1 Y 0.0000 0.0000 0.0000 1
Ho1 Ho 0.0000 0.0000 0.4182 1
V1 V 0.0000 0.0000 0.5000 1
# * theoretical density: 6.947 g/cm3
# * energy of formation: 611.9 meV per atom



Record 4
# Sr4CdAs GGA-PBE optimized geometry
data_Sr4CdAs
_chemical_formula_sum 'Sr16 Cd4 As4'
_symmetry_space_group_name_H-M 'F -4 3 m'
_symmetry_Int_Tables_number 216
_symmetry_space_group_name_Hall 'F -4 2 3'
_cell_length_a 9.9339
_cell_length_b 9.9339
_cell_length_c 9.9339
_cell_angle_alpha 90.00
_cell_angle_beta 90.00
_cell_angle_gamma 90.00
loop_
_atom_site_label
_atom_site_type_symbol
_atom_site_fract_x
_atom_site_fract_y
_atom_site_fract_z
_atom_site_occupancy
Sr1 Sr 0.1242 0.1242 0.1242 1
Cd1 Cd 0.0000 0.0000 0.5000 1
As1 As 0.2500 0.2500 0.7500 1
# * theoretical density: 3.644 g/cm3
# * energy of formation: 347.1 meV per atom



Record 5
# Ag3SnO GGA-PBE optimized geometry
data_Ag3SnO
_chemical_formula_sum 'Ag3 Sn1 O1'
_symmetry_space_group_name_H-M 'P m -3 m'
_symmetry_Int_Tables_number 221
_symmetry_space_group_name_Hall '-P 4 2 3'
_cell_length_a 5.2380
_cell_length_b 5.2380
_cell_length_c 5.2380
_cell_angle_alpha 90.00
_cell_angle_beta 90.00
_cell_angle_gamma 90.00
loop_
_atom_site_label
_atom_site_type_symbol
_atom_site_fract_x
_atom_site_fract_y
_atom_site_fract_z
_atom_site_occupancy
Ag1 Ag 0.0000 0.0000 0.5000 1
Sn1 Sn 0.0000 0.0000 0.0000 1
O1 O 0.5000 0.5000 0.5000 1
# * theoretical density: 5.296 g/cm3
# * energy above the most stable polymorph in this dataset: 994.4 meV/atom



Record 6
# Nb2AgHPd GGA-PBE optimized geometry
data_Nb2AgHPd
_chemical_formula_sum 'Nb2 Ag1 H1 Pd1'
_symmetry_space_group_name_H-M 'P 4/m m m'
_symmetry_Int_Tables_number 123
_symmetry_space_group_name_Hall '-P 4 2'
_cell_length_a 4.0942
_cell_length_b 4.0942
_cell_length_c 4.2297
_cell_angle_alpha 90.00
_cell_angle_beta 90.00
_cell_angle_gamma 90.00
loop_
_atom_site_label
_atom_site_type_symbol
_atom_site_fract_x
_atom_site_fract_y
_atom_site_fract_z
_atom_site_occupancy
Nb1 Nb 0.0000 0.5000 0.0000 1
Ag1 Ag 0.0000 0.0000 0.5000 1
H1 H 0.5000 0.5000 0.0000 1
Pd1 Pd 0.5000 0.5000 0.5000 1
# * theoretical density: 9.394 g/cm3
# * energy above the most stable polymorph in this dataset: 0.0 meV/atom



Record 7
# CsCoCl2 GGA-PBE optimized geometry
data_CsCoCl2
_chemical_formula_sum 'Cs4 Co4 Cl8'
_symmetry_space_group_name_H-M 'I -4 2 d'
_symmetry_Int_Tables_number 122
_symmetry_space_group_name_Hall 'I -4 2bw'
_cell_length_a 7.5492
_cell_length_b 7.5492
_cell_length_c 7.8887
_cell_angle_alpha 90.00
_cell_angle_beta 90.00
_cell_angle_gamma 90.00
loop_
_atom_site_label
_atom_site_type_symbol
_atom_site_fract_x
_atom_site_fract_y
_atom_site_fract_z
_atom_site_occupancy
Cs1 Cs 0.0000 0.0000 0.0000 1
Co1 Co 0.0000 0.0000 0.5000 1
Cl1 Cl 0.1209 0.2500 0.6250 1
# * theoretical density: 3.882 g/cm3
# * energy above the most stable polymorph in this dataset: 95.0 meV/atom



Record 8
# GaAs3Rh GGA-PBE optimized geometry
data_GaAs3Rh
_chemical_formula_sum 'Ga1 As3 Rh1'
_symmetry_space_group_name_H-M 'P m -3 m'
_symmetry_Int_Tables_number 221
_symmetry_space_group_name_Hall '-P 4 2 3'
_cell_length_a 4.8551
_cell_length_b 4.8551
_cell_length_c 4.8551
_cell_angle_alpha 90.00
_cell_angle_beta 90.00
_cell_angle_gamma 90.00
loop_
_atom_site_label
_atom_site_type_symbol
_atom_site_fract_x
_atom_site_fract_y
_atom_site_fract_z
_atom_site_occupancy
Ga1 Ga 0.0000 0.0000 0.0000 1
As1 As 0.0000 0.5000 0.5000 1
Rh1 Rh 0.5000 0.5000 0.5000 1
# * theoretical density: 5.766 g/cm3
# * energy above the most stable polymorph in this dataset: 0.0 meV/atom
# * energy of formation: 450.5 meV per atom



Record 9
# InRePt2 GGA-PBE optimized geometry
data_InRePt2
_chemical_formula_sum 'In3 Re3 Pt6'
_symmetry_space_group_name_H-M 'R 3 m'
_symmetry_Int_Tables_number 160
_symmetry_space_group_name_Hall 'R 3 -2"'
_cell_length_a 2.9025
_cell_length_b 2.9025
_cell_length_c 27.2885
_cell_angle_alpha 90.00
_cell_angle_beta 90.00
_cell_angle_gamma 120.00
loop_
_atom_site_label
_atom_site_type_symbol
_atom_site_fract_x
_atom_site_fract_y
_atom_site_fract_z
_atom_site_occupancy
In1 In 0.0000 0.0000 0.0000 1
Re1 Re 0.0000 0.0000 0.2465 1
Pt1 Pt 0.0000 0.0000 0.5030 1
Pt2 Pt 0.0000 0.0000 0.7508 1
# * theoretical density: 17.295 g/cm3
# * energy of formation: 119.9 meV per atom



Record 10
# NaCa3Pt GGA-PBE optimized geometry
data_NaCa3Pt
_chemical_formula_sum 'Na4 Ca12 Pt4'
_symmetry_space_group_name_H-M 'I -4 m 2'
_symmetry_Int_Tables_number 119
_symmetry_space_group_name_Hall 'I -4 -2'
_cell_length_a 5.8255
_cell_length_b 5.8255
_cell_length_c 26.4122
_cell_angle_alpha 90.00
_cell_angle_beta 90.00
_cell_angle_gamma 90.00
loop_
_atom_site_label
_atom_site_type_symbol
_atom_site_fract_x
_atom_site_fract_y
_atom_site_fract_z
_atom_site_occupancy
Na1 Na 0.0000 0.0000 0.0000 1
Na2 Na 0.0000 0.5000 0.2500 1
Ca1 Ca 0.0000 0.0000 0.3092 1
Ca2 Ca 0.0000 0.2384 0.1296 1
Pt1 Pt 0.0000 0.5000 0.6477 1
# * theoretical density: 2.507 g/cm3
# * energy above the most stable polymorph in this dataset: 862.1 meV/atom
# * energy of formation: 393.7 meV per atom



Record 11
# TeAs2Br GGA-PBE optimized geometry
data_TeAs2Br
_chemical_formula_sum 'Te1 As2 Br1'
_symmetry_space_group_name_H-M 'P 4/m m m'
_symmetry_Int_Tables_number 123
_symmetry_space_group_name_Hall '-P 4 2'
_cell_length_a 3.7983
_cell_length_b 3.7983
_cell_length_c 7.1893
_cell_angle_alpha 90.00
_cell_angle_beta 90.00
_cell_angle_gamma 90.00
loop_
_atom_site_label
_atom_site_type_symbol
_atom_site_fract_x
_atom_site_fract_y
_atom_site_fract_z
_atom_site_occupancy
Te1 Te 0.0000 0.0000 0.0000 1
As1 As 0.5000 0.5000 0.1835 1
Br1 Br 0.0000 0.0000 0.5000 1
# * theoretical density: 5.721 g/cm3
# * energy above the most stable polymorph in this dataset: 325.6 meV/atom



Record 12
# Ho3Tm3Tc2Ag GGA-PBE optimized geometry
data_Ho3Tm3Tc2Ag
_chemical_formula_sum 'Ho3 Tm3 Tc2 Ag1'
_symmetry_space_group_name_H-M 'P -6 2 m'
_symmetry_Int_Tables_number 189
_symmetry_space_group_name_Hall 'P -6 -2'
_cell_length_a 8.0879
_cell_length_b 8.0879
_cell_length_c 3.8372
_cell_angle_alpha 90.00
_cell_angle_beta 90.00
_cell_angle_gamma 120.00
loop_
_atom_site_label
_atom_site_type_symbol
_atom_site_fract_x
_atom_site_fract_y
_atom_site_fract_z
_atom_site_occupancy
Ho1 Ho 0.0000 0.7200 0.0000 1
Tm1 Tm 0.0000 0.4008 0.5000 1
Tc1 Tc 0.3333 0.6667 0.0000 1
Ag1 Ag 0.0000 0.0000 0.5000 1
# * theoretical density: 9.972 g/cm3
# * energy of formation: -31.8 meV per atom



Record 13
# HfGe2OF GGA-PBE optimized geometry
data_HfGe2OF
_chemical_formula_sum 'Hf1 Ge2 O1 F1'
_symmetry_space_group_name_H-M 'P 4/m m m'
_symmetry_Int_Tables_number 123
_symmetry_space_group_name_Hall '-P 4 2'
_cell_length_a 5.3653
_cell_length_b 5.3653
_cell_length_c 3.9738
_cell_angle_alpha 90.00
_cell_angle_beta 90.00
_cell_angle_gamma 90.00
loop_
_atom_site_label
_atom_site_type_symbol
_atom_site_fract_x
_atom_site_fract_y
_atom_site_fract_z
_atom_site_occupancy
Hf1 Hf 0.0000 0.0000 0.0000 1
Ge1 Ge 0.0000 0.5000 0.0000 1
O1 O 0.0000 0.0000 0.5000 1
F1 F 0.5000 0.5000 0.5000 1
# * theoretical density: 5.208 g/cm3
# * calculated total energy: -5.8576 eV per atom